Entry 1:
ZnHPd3 | GGA-PBE | relaxed

Excess energy over the best structure of this formula in the dataset, meV per atom: 40

Unit cell a=4.822 b=5.639 c=4.868 alpha=90.00 beta=108.01 gamma=90.00
Fractional coordinates of all 10 atoms:
H  0.028  0.250  0.470
H  0.972  0.750  0.530
Pd  0.716  0.750  0.732
Pd  0.767  0.999  0.238
Zn  0.273  0.750  0.238
Pd  0.767  0.501  0.238
Pd  0.284  0.250  0.268
Pd  0.233  0.001  0.762
Pd  0.233  0.499  0.762
Zn  0.727  0.250  0.762

Entry 2:
ZnH3Pd | GGA-PBE | relaxed

Excess energy over the best structure of this formula in the dataset, meV per atom: 0

Unit cell a=3.558 b=3.558 c=3.558 alpha=90.00 beta=90.00 gamma=90.00
Fractional coordinates of all 5 atoms:
H  0.000  0.000  0.500
Pd  0.000  0.000  0.000
H  0.500  0.000  0.000
Zn  0.500  0.500  0.500
H  0.000  0.500  0.000

Entry 3:
ZnHPd3 | GGA-PBE | relaxed

Excess energy over the best structure of this formula in the dataset, meV per atom: 172

Unit cell a=5.136 b=5.136 c=5.571 alpha=90.00 beta=90.00 gamma=114.36
Fractional coordinates of all 10 atoms:
Pd  0.515  0.996  0.250
Zn  0.508  0.492  0.250
Pd  0.485  0.004  0.750
Zn  0.492  0.508  0.750
H  0.863  0.137  0.750
Pd  0.004  0.485  0.250
Pd  0.000  0.000  0.500
Pd  0.996  0.515  0.750
Pd  0.000  0.000  0.000
H  0.137  0.863  0.250

Entry 4:
ZnHPd3 | GGA-PBE | relaxed

Excess energy over the best structure of this formula in the dataset, meV per atom: 17

Unit cell a=7.826 b=4.184 c=4.162 alpha=90.00 beta=74.58 gamma=74.50
Fractional coordinates of all 10 atoms:
Pd  0.379  0.714  0.263
H  0.971  0.172  0.223
Pd  0.379  0.223  0.776
H  0.228  0.044  0.595
Pd  0.820  0.993  0.556
Zn  0.599  0.108  0.166
Pd  0.099  0.375  0.410
Pd  0.099  0.841  0.910
Zn  0.599  0.608  0.653
Pd  0.820  0.502  0.043

Entry 5:
ZnHPd3 | GGA-PBE | relaxed

Excess energy over the best structure of this formula in the dataset, meV per atom: 511

Unit cell a=3.841 b=3.841 c=6.114 alpha=90.00 beta=90.00 gamma=90.00
Fractional coordinates of all 5 atoms:
Pd  0.000  0.000  0.765
Zn  0.000  0.000  0.161
Pd  0.500  0.000  0.446
H  0.500  0.500  0.446
Pd  0.000  0.500  0.446

Entry 6:
ZnHPd3 | GGA-PBE | relaxed

Excess energy over the best structure of this formula in the dataset, meV per atom: 27

Unit cell a=7.914 b=5.674 c=2.980 alpha=105.15 beta=100.89 gamma=85.17
Fractional coordinates of all 10 atoms:
Pd  0.255  0.248  0.684
Zn  0.027  0.474  0.183
Pd  0.885  0.133  0.442
Pd  0.523  0.017  0.203
Pd  0.156  0.819  0.919
Zn  0.651  0.362  0.939
Pd  0.423  0.588  0.437
Pd  0.793  0.702  0.680
H  0.107  0.000  0.484
H  0.572  0.836  0.638

Entry 7:
ZnHPd3 | GGA-PBE | relaxed

Excess energy over the best structure of this formula in the dataset, meV per atom: 18

Unit cell a=7.806 b=4.194 c=4.194 alpha=91.07 beta=105.91 gamma=74.09
Fractional coordinates of all 10 atoms:
Pd  0.480  0.576  0.556
Zn  0.699  0.451  0.166
Pd  0.919  0.841  0.261
H  0.335  0.390  0.227
H  0.064  0.026  0.591
Pd  0.919  0.356  0.776
Pd  0.480  0.061  0.041
Zn  0.699  0.965  0.652
Pd  0.199  0.208  0.409
Pd  0.199  0.708  0.909

Entry 8:
ZnHPd3 | GGA-PBE | relaxed

Excess energy over the best structure of this formula in the dataset, meV per atom: 234

Unit cell a=5.222 b=5.222 c=6.215 alpha=65.16 beta=65.16 gamma=90.00
Fractional coordinates of all 10 atoms:
Pd  0.122  0.373  0.756
Zn  0.609  0.109  0.782
Pd  0.129  0.878  0.244
H  0.000  0.000  0.000
Pd  0.367  0.367  0.266
H  0.250  0.750  0.500
Zn  0.891  0.391  0.218
Pd  0.627  0.878  0.244
Pd  0.122  0.871  0.756
Pd  0.633  0.633  0.734

Entry 9:
ZnHPd3 | GGA-PBE | relaxed

Excess energy over the best structure of this formula in the dataset, meV per atom: 88

Unit cell a=20.084 b=5.034 c=7.942 alpha=90.00 beta=161.41 gamma=90.00
Fractional coordinates of all 20 atoms:
H  0.421  0.240  0.197
Zn  0.016  0.821  0.647
Pd  0.704  0.086  0.048
Zn  0.984  0.179  0.353
H  0.579  0.760  0.803
Pd  0.835  0.088  0.705
H  0.921  0.260  0.697
Pd  0.584  0.154  0.397
Pd  0.296  0.914  0.952
H  0.079  0.740  0.303
Zn  0.484  0.321  0.853
Pd  0.916  0.654  0.103
Pd  0.084  0.346  0.897
Pd  0.665  0.588  0.795
Pd  0.204  0.414  0.548
Pd  0.335  0.412  0.205
Pd  0.796  0.586  0.452
Zn  0.516  0.679  0.147
Pd  0.165  0.912  0.295
Pd  0.416  0.846  0.603

Entry 10:
ZnHPd3 | GGA-PBE | relaxed

Excess energy over the best structure of this formula in the dataset, meV per atom: 2

Unit cell a=3.974 b=3.974 c=3.974 alpha=90.00 beta=90.00 gamma=90.00
Fractional coordinates of all 5 atoms:
Pd  0.000  0.000  0.500
Pd  0.500  0.000  0.000
Pd  0.000  0.500  0.000
Zn  0.500  0.500  0.500
H  0.000  0.000  0.000

Entry 11:
ZnH6Pd8 | GGA-PBE | relaxed

Unit cell a=2.877 b=7.877 c=7.877 alpha=120.00 beta=90.00 gamma=90.00
Fractional coordinates of all 15 atoms:
H  0.708  0.146  0.446
Pd  0.788  0.668  0.978
Pd  0.212  0.690  0.668
Pd  0.212  0.978  0.310
H  0.708  0.554  0.700
H  0.292  0.700  0.146
Pd  0.648  0.667  0.333
H  0.292  0.446  0.300
Pd  0.788  0.310  0.332
H  0.292  0.854  0.554
Pd  0.788  0.022  0.690
H  0.708  0.300  0.854
Zn  0.500  0.000  0.000
Pd  0.352  0.333  0.667
Pd  0.212  0.332  0.022

Entry 12:
Zr2ZnHPd | GGA-PBE | relaxed

Excess energy over the best structure of this formula in the dataset, meV per atom: 34

Unit cell a=4.305 b=4.305 c=4.100 alpha=90.00 beta=90.00 gamma=90.00
Fractional coordinates of all 5 atoms:
Zr  0.500  0.000  0.000
Zn  0.000  0.000  0.500
Zr  0.000  0.500  0.000
Pd  0.500  0.500  0.500
H  0.000  0.000  0.000

Entry 13:
Zr2ZnHPd | GGA-PBE | relaxed

Excess energy over the best structure of this formula in the dataset, meV per atom: 0

Unit cell a=4.400 b=4.400 c=3.977 alpha=90.00 beta=90.00 gamma=90.00
Fractional coordinates of all 5 atoms:
Zr  0.500  0.000  0.000
Zr  0.000  0.500  0.000
Pd  0.000  0.000  0.500
Zn  0.500  0.500  0.500
H  0.000  0.000  0.000

Entry 14:
ZrZnH2Pd | GGA-PBE | relaxed

Unit cell a=3.707 b=3.707 c=4.823 alpha=90.00 beta=90.00 gamma=90.00
Fractional coordinates of all 5 atoms:
Zn  0.000  0.000  0.500
H  0.500  0.000  0.000
Pd  0.000  0.000  0.000
Zr  0.500  0.500  0.500
H  0.000  0.500  0.000

Entry 15:
Zr4HPd2 | GGA-PBE | relaxed

Unit cell a=4.219 b=4.219 c=7.786 alpha=105.72 beta=105.72 gamma=90.00
Fractional coordinates of all 7 atoms:
Zr  0.500  0.000  0.000
H  0.000  0.000  0.000
Zr  0.183  0.183  0.365
Pd  0.359  0.359  0.718
Zr  0.817  0.817  0.635
Zr  0.000  0.500  0.000
Pd  0.641  0.641  0.282

Entry 16:
ZrH6Pd7 | GGA-PBE | relaxed

Unit cell a=5.058 b=5.058 c=7.566 alpha=70.47 beta=70.47 gamma=60.00
Fractional coordinates of all 14 atoms:
Pd  0.110  0.775  0.678
Pd  0.664  0.664  0.009
H  0.720  0.076  0.789
Pd  0.553  0.897  0.335
H  0.271  0.926  0.224
Zr  0.998  0.998  0.005
Pd  0.897  0.215  0.335
H  0.926  0.580  0.224
Pd  0.775  0.437  0.678
H  0.580  0.271  0.224
H  0.415  0.720  0.789
H  0.076  0.415  0.789
Pd  0.215  0.553  0.335
Pd  0.437  0.110  0.678

Entry 17:
ZrH2Pd | GGA-PBE | relaxed

Unit cell a=4.262 b=4.262 c=5.768 alpha=68.32 beta=68.32 gamma=90.00
Fractional coordinates of all 8 atoms:
H  0.084  0.625  0.250
H  0.375  0.334  0.750
Zr  0.500  0.500  0.000
H  0.875  0.916  0.750
H  0.666  0.125  0.250
Pd  0.000  0.000  0.000
Zr  0.250  0.750  0.500
Pd  0.750  0.250  0.500

Entry 18:
Zr3HPd | GGA-PBE | relaxed

Excess energy over the best structure of this formula in the dataset, meV per atom: 54

Unit cell a=3.173 b=7.693 c=7.692 alpha=67.11 beta=90.00 gamma=90.01
Fractional coordinates of all 10 atoms:
H  0.363  0.694  0.246
Pd  0.363  0.694  0.746
Zr  0.863  0.354  0.847
Zr  0.863  0.594  0.087
Zr  0.863  0.034  0.646
Zr  0.363  0.421  0.473
Zr  0.863  0.794  0.406
Zr  0.363  0.968  0.020
Pd  0.863  0.194  0.246
H  0.363  0.194  0.746

Entry 19:
ZrH2Pd | GGA-PBE | relaxed

Unit cell a=3.334 b=3.330 c=5.758 alpha=73.22 beta=125.31 gamma=120.04
Fractional coordinates of all 4 atoms:
Zr  0.308  0.902  0.211
Pd  0.169  0.569  0.738
H  0.796  0.569  0.365
H  0.863  0.235  0.099

Entry 20:
Zr2HPd | GGA-PBE | relaxed

Excess energy over the best structure of this formula in the dataset, meV per atom: 123

Unit cell a=6.264 b=6.264 c=5.553 alpha=55.66 beta=55.66 gamma=90.00
Fractional coordinates of all 8 atoms:
Zr  0.875  0.801  0.750
H  0.500  0.500  0.000
Zr  0.199  0.625  0.250
Zr  0.375  0.449  0.750
Pd  0.750  0.250  0.500
H  0.250  0.750  0.500
Zr  0.551  0.125  0.250
Pd  0.000  0.000  0.000

Record-wise raw total energy values, in eV/atom: -4.311, -3.060, -4.180, -4.334, -3.841, -4.324, -4.333, -4.117, -4.264, -4.350, -4.338, -5.745, -5.779, -4.179, -7.192, -4.838, -5.400, -7.094, -5.509, -6.762